(1)
A plane-wave DFT calculation with PBE was carried out for a relaxed structure of Pm6MgSn2.

abc: 8.7395 8.7395 4.2680
angles: 90.00 90.00 120.00
Space group P-62m (No. 189)
One atom of each set of equivalent atoms:
Pm  0.0000  0.4009  0.0000 [3 per cell]
Pm  0.0000  0.7188  0.5000 [3 per cell]
Mg  0.0000  0.0000  0.0000 [1 per cell]
Sn  0.3333  0.6667  0.5000 [2 per cell]

ΔH_f (0 K)	-0.337	eV per atom

(2)
A plane-wave DFT calculation with PBE was carried out for a relaxed structure of NdTmHgRu.

abc: 7.188 7.188 7.188
angles: 90.00 90.00 90.00
Space group F-43m (No. 216)
One atom of each set of equivalent atoms:
Nd  0.000  0.000  0.000 [4 per cell]
Tm  0.000  0.000  0.500 [4 per cell]
Hg  0.250  0.250  0.250 [4 per cell]
Ru  0.250  0.250  0.750 [4 per cell]

ΔH_f (0 K)	-0.298	eV per atom

(3)
A plane-wave DFT calculation with PBE was carried out for a relaxed structure of ZrTiHRh2.

abc: 4.099 4.099 3.995
angles: 90.00 90.00 90.00
Space group P4/mmm (No. 123)
One atom of each set of equivalent atoms:
Zr  0.000  0.000  0.000 [1 per cell]
Ti  0.500  0.500  0.000 [1 per cell]
H  0.500  0.500  0.500 [1 per cell]
Rh  0.000  0.500  0.500 [2 per cell]

VASP energy	-37.10	eV for the cell shown

(4)
A plane-wave DFT calculation with PBE was carried out for a relaxed structure of Tc2BSBr.

abc: 4.718 4.718 3.941
angles: 90.00 90.00 90.00
Space group P4/mmm (No. 123)
One atom of each set of equivalent atoms:
Tc  0.000  0.500  0.000 [2 per cell]
B  0.000  0.000  0.500 [1 per cell]
S  0.500  0.500  0.500 [1 per cell]
Br  0.000  0.000  0.000 [1 per cell]

formation energy from raw total energies	2.109	eV per atom

(5)
A plane-wave DFT calculation with PBE was carried out for a relaxed structure of PuZrNb2.

abc: 6.895 6.895 6.895
angles: 90.00 90.00 90.00
Space group Fm-3m (No. 225)
One atom of each set of equivalent atoms:
Pu  0.000  0.000  0.000 [4 per cell]
Zr  0.000  0.000  0.500 [4 per cell]
Nb  0.250  0.250  0.250 [8 per cell]

ΔH_f (0 K)	0.198	eV per atom

(6)
A plane-wave DFT calculation with PBE was carried out for a relaxed structure of DyPu2US4.

abc: 6.767 3.883 6.822
angles: 90.00 109.08 90.00
Space group P2/m (No. 10)
One atom of each set of equivalent atoms:
Dy  0.000  0.000  0.000 [1 per cell]
Pu  0.000  0.500  0.500 [1 per cell]
Pu  0.500  0.000  0.500 [1 per cell]
U  0.500  0.500  0.000 [1 per cell]
S  0.249  0.500  0.247 [2 per cell]
S  0.250  0.000  0.752 [2 per cell]

formation energy from raw total energies	-1.714	eV per atom